[1]
Ho3Ga9Fe2 GGA-PBE optimized geometry; DFT formation energy = -6.43 eV/f.u.
1.0
4.0591 0.0000 1.0903
1.5377 7.5250 2.3762
0.0169 0.1409 8.0384
Ga Fe Ho
9 2 3
Direct
0.3478 0.2892 0.0152
0.3478 0.0152 0.2892
0.1307 0.5850 0.1536
0.8693 0.8464 0.4150
0.1307 0.1536 0.5850
0.8693 0.4150 0.8464
0.0000 0.5000 0.5000
0.6522 0.9848 0.7108
0.6522 0.7108 0.9848
0.5000 0.6803 0.3197
0.5000 0.3197 0.6803
0.6954 0.3046 0.3046
0.0000 0.0000 0.0000
0.3046 0.6954 0.6954



[2]
CsGeAsBr2 GGA-PBE optimized geometry; energy relative to the lowest polymorph listed for this composition = 0.0 kJ/mol of atoms; energy relative to the elements, uncorrected = -0.485 eV/atom
1.0
-2.7055 2.3775 4.4669
-1.4300 -5.2180 1.9112
4.4604 -0.1949 2.8053
Cs Br As Ge
1 2 1 1
Direct
0.5000 0.5000 0.5000
0.5000 0.0000 0.0000
0.0000 0.5000 0.0000
0.0000 0.0000 0.5000
0.0000 0.0000 0.0000



[3]
Ac2H9Pd3 GGA-PBE optimized geometry; total energy = -4.17 eV/atom
1.0
5.0972 1.5953 -2.9866
-1.7143 5.8553 -0.4719
0.0212 -0.1164 11.1790
Pd H Ac
6 18 4
Direct
0.5000 0.5000 0.5000
0.8575 0.3119 0.4337
0.5000 0.0000 0.0000
0.3782 0.4238 0.0663
0.6218 0.5762 0.9337
0.1425 0.6881 0.5663
0.2153 0.5985 0.1213
0.9772 0.0939 0.3787
0.7847 0.4015 0.8787
0.6482 0.8524 0.8972
0.8339 0.5714 0.5213
0.4499 0.6874 0.0213
0.9170 0.6670 0.2500
0.6698 0.3710 0.6475
0.3302 0.6290 0.3525
0.5448 0.2490 0.3972
0.4552 0.7510 0.6028
0.5501 0.3126 0.9787
0.1661 0.4286 0.4787
0.3518 0.1476 0.1028
0.2235 0.0223 0.8525
0.0228 0.9061 0.6213
0.7765 0.9777 0.1475
0.0830 0.3330 0.7500
0.0190 0.3266 0.1997
0.3731 0.1807 0.6997
0.9810 0.6734 0.8003
0.6269 0.8193 0.3003



[4]
Ce2UCo GGA-PBE optimized geometry; DFT formation energy = 1.08 eV/f.u.
1.0
2.9763 0.0000 0.0000
1.4881 2.5776 0.0000
1.4881 0.8592 10.2488
U Co Ce
1 1 2
Direct
0.0000 0.0000 0.0000
0.5000 0.5000 0.5000
0.0936 0.0936 0.7191
0.9064 0.9064 0.2809



[5]
K3ZrPa2As6 GGA-PBE optimized geometry; DFT formation energy = -9.07 eV/f.u.
1.0
-2.7652 -4.5763 -4.9253
6.9902 -0.5222 1.9263
-3.3203 -3.1815 6.6100
As K Zr Pa
6 3 1 2
Direct
0.6099 0.9369 0.8104
0.3901 0.0631 0.1896
0.2637 0.2637 0.8104
0.9369 0.6099 0.8104
0.7363 0.7363 0.1896
0.0631 0.3901 0.1896
0.1666 0.8334 0.5000
0.8334 0.1666 0.5000
0.5000 0.5000 0.5000
0.0000 0.0000 0.0000
0.3334 0.6666 0.0000
0.6666 0.3334 0.0000



[6]
Os2BrCl GGA-PBE optimized geometry; energy relative to the lowest polymorph listed for this composition = 54.4 kJ/mol of atoms; energy relative to the elements, uncorrected = 0.821 eV/atom
1.0
-2.7022 -1.1616 -0.6996
1.0038 0.3877 2.8253
-4.0969 9.4333 0.1611
Cl Os Br
1 2 1
Direct
0.5000 0.5000 0.8173
0.0000 0.0000 0.0134
0.5000 0.5000 0.2181
0.0000 0.0000 0.4512



[7]
Cr2Ir GGA-PBE optimized geometry; DFT formation energy = 1.80 eV/f.u.
1.0
-3.2848 -5.6436 4.4568
-3.6830 -1.6330 6.8023
1.4247 4.0308 -6.6502
Cr Ir
4 2
Direct
0.3298 0.8298 0.5000
0.4202 0.4202 0.0000
0.5798 0.5798 0.0000
0.1702 0.6702 0.5000
0.7500 0.2500 0.5000
0.0000 0.0000 0.0000



[8]
PuZrGe2 GGA-PBE optimized geometry; energy relative to the lowest polymorph listed for this composition = 8.4 kJ/mol of atoms; DFT formation energy = -1.88 eV/f.u.
1.0
3.9172 0.0000 0.0000
1.9586 3.3924 0.0000
1.9586 1.1308 6.8781
Ge Zr Pu
2 1 1
Direct
0.7442 0.7442 0.7673
0.2558 0.2558 0.2327
0.0000 0.0000 0.0000
0.5000 0.5000 0.5000



[9]
HoEr2Sc GGA-PBE optimized geometry; energy relative to the lowest polymorph listed for this composition = 1.6 kJ/mol of atoms; DFT formation energy = 0.17 eV/f.u.
1.0
-1.2462 -2.9007 3.7251
-2.8286 -2.6201 -2.9865
3.7729 -2.9201 -1.0116
Er Ho Sc
2 1 1
Direct
0.0000 0.0000 0.5000
0.0000 0.5000 0.0000
0.5000 0.5000 0.5000
0.5000 0.0000 0.0000



[10]
K3U3CuTe8 GGA-PBE optimized geometry; energy relative to the elements, uncorrected = -0.686 eV/atom
1.0
-8.9105 -2.1050 0.7154
6.0504 -3.9530 4.7821
-1.8721 8.8624 2.7592
Te K U Cu
8 3 3 1
Direct
0.7994 0.5987 0.3241
0.7075 0.9592 0.7143
0.2925 0.0408 0.2857
0.2622 0.5243 0.2875
0.2006 0.4013 0.6759
0.7378 0.4757 0.7125
0.7484 0.0408 0.2857
0.2516 0.9592 0.7143
0.0000 0.0000 0.0000
0.0000 0.5000 0.0000
0.5000 0.5000 0.0000
0.0000 0.5000 0.5000
0.5000 0.0000 0.5000
0.5000 0.5000 0.5000
0.0000 0.0000 0.5000



[11]
Tb6DyTh GGA-PBE optimized geometry; energy relative to the lowest polymorph listed for this composition = 0.0 kJ/mol of atoms; DFT formation energy = 0.24 eV/f.u.
1.0
5.0420 0.0000 0.0000
0.0000 5.0420 0.0000
0.0000 0.0000 10.0337
Tb Th Dy
6 1 1
Direct
0.5000 0.0000 0.2521
0.0000 0.5000 0.7479
0.5000 0.0000 0.7479
0.0000 0.5000 0.2521
0.5000 0.5000 0.5000
0.5000 0.5000 0.0000
0.0000 0.0000 0.5000
0.0000 0.0000 0.0000



[12]
NaBPb GGA-PBE optimized geometry; DFT formation energy = 1.31 eV/f.u.
1.0
-5.1306 -2.2644 0.9108
0.4510 -3.6532 -4.0823
4.0329 -3.4311 1.2645
B Na Pb
2 2 2
Direct
0.7104 0.3685 0.1690
0.4729 0.3385 0.2387
0.8436 0.1859 0.7960
0.6530 0.8356 0.3556
0.0982 0.5222 0.2416
0.3204 0.7377 0.7614



[13]
Zn3GaSb GGA-PBE optimized geometry; energy relative to the lowest polymorph listed for this composition = 0.0 kJ/mol of atoms; energy relative to the elements, uncorrected = 0.405 eV/atom
1.0
4.8285 0.0000 0.0000
0.0000 4.8285 0.0000
0.0000 0.0000 4.8285
Zn Ga Sb
3 1 1
Direct
0.0000 0.0000 0.5000
0.5000 0.0000 0.0000
0.0000 0.5000 0.0000
0.0000 0.0000 0.0000
0.5000 0.5000 0.5000



[14]
Cs3TmAg2I9 GGA-PBE optimized geometry; energy relative to the elements, uncorrected = -1.031 eV/atom
1.0
-7.1774 -0.3652 4.4534
4.7099 -6.9490 -1.0045
5.3243 2.3405 8.7730
I Ag Cs Tm
9 2 3 1
Direct
0.5000 0.0000 0.0000
0.8329 0.1671 0.6640
0.0000 0.5000 0.0000
0.5000 0.5000 0.0000
0.1671 0.8329 0.3360
0.8329 0.6659 0.6640
0.3341 0.1671 0.6640
0.1671 0.3341 0.3360
0.6659 0.8329 0.3360
0.6667 0.3333 0.8481
0.3333 0.6667 0.1519
0.3333 0.6667 0.6740
0.6667 0.3333 0.3260
0.0000 0.0000 0.0000
0.0000 0.0000 0.5000



[15]
Ta2BeSi GGA-PBE optimized geometry; energy relative to the lowest polymorph listed for this composition = 45.3 kJ/mol of atoms; energy relative to the elements, uncorrected = -0.098 eV/atom
1.0
-0.4918 -0.6117 2.8435
2.9418 0.1122 -0.1864
-0.1682 6.7897 1.4315
Be Ta Si
1 2 1
Direct
0.0000 0.0000 0.5310
0.5000 0.5000 0.2981
0.0000 0.0000 0.9653
0.5000 0.5000 0.7055



[16]
Pa2Pd5 GGA-PBE optimized geometry; DFT formation energy = -4.04 eV/f.u.
1.0
-5.9364 1.7595 -5.2130
1.4381 -4.6322 -3.2013
-1.4696 -1.8687 7.3262
Pd Pa
10 4
Direct
0.6234 0.8778 0.2469
0.2500 0.4999 0.0000
0.1233 0.3691 0.2467
0.7500 0.5001 0.0000
0.0047 0.2547 0.5094
0.5047 0.2548 0.5094
0.3766 0.1222 0.7531
0.4953 0.7452 0.4906
0.8767 0.6309 0.7533
0.9953 0.7453 0.4906
0.1175 0.8892 0.2349
0.8825 0.1108 0.7651
0.3826 0.6541 0.7652
0.6174 0.3459 0.2348



[17]
Te2RuPb GGA-PBE optimized geometry; energy relative to the elements, uncorrected = 0.588 eV/atom
1.0
5.5772 -0.0014 0.0000
1.7538 5.2943 0.0000
-3.6655 -2.6464 3.2659
Te Pb Ru
2 1 1
Direct
0.0000 0.0000 0.0000
0.2500 0.7500 0.5000
0.5000 0.5000 0.0000
0.7500 0.2500 0.5000



[18]
Zr2CrPW GGA-PBE optimized geometry; energy relative to the lowest polymorph listed for this composition = 2.9 kJ/mol of atoms; DFT formation energy = 3.96 eV/f.u.
1.0
4.8894 0.0000 0.0000
0.0000 4.3251 0.0000
0.0000 0.0000 4.8894
Zr P Cr W
2 1 1 1
Direct
0.5000 0.0000 0.0000
0.0000 0.0000 0.5000
0.5000 0.5000 0.5000
0.0000 0.0000 0.0000
0.0000 0.5000 0.0000



[19]
SrIn2Cl GGA-PBE optimized geometry; energy relative to the lowest polymorph listed for this composition = 1.3 kJ/mol of atoms; energy relative to the elements, uncorrected = -0.806 eV/atom
1.0
6.8660 0.0000 0.0000
0.0000 4.2432 0.0000
0.0000 0.0000 4.2432
Cl In Sr
1 2 1
Direct
0.5000 0.0000 0.5000
0.0000 0.5000 0.5000
0.0000 0.0000 0.0000
0.5000 0.5000 0.0000



[20]
Ca2AsRhN GGA-PBE optimized geometry; energy relative to the elements, uncorrected = -0.724 eV/atom
1.0
-3.4126 3.1998 1.7446
-0.2176 -2.5647 4.2782
2.8034 2.1947 1.4583
Ca N Rh As
2 1 1 1
Direct
0.0000 0.5000 0.0000
0.5000 0.0000 0.0000
0.0000 0.0000 0.0000
0.0000 0.0000 0.5000
0.5000 0.5000 0.5000



The evaluated total magnetization for the records listed, in turn: 2.75, 1.67, 0.00, 0.48, 0.00, 0.00, 0.00, 4.92, 0.00, 6.00, 0.00, 0.00, 0.00, 0.00, 0.00, 0.00, 0.00, 0.00, 0.00, 0.00 μB per cell.
The evaluated calculated volume for the records listed, in turn: 17.4, 34.7, 13.0, 19.7, 29.3, 19.4, 13.7, 22.9, 29.0, 37.5, 31.9, 24.4, 22.5, 43.4, 14.7, 19.7, 24.1, 20.7, 30.9, 19.2 Å³/atom.